Entry 1:
Material: FeCo4
Method: DFT, PBE
State: optimized geometry

Output
- Crystal system: orthorhombic
- D(E_F): 10.48 states/eV/cell
- Space group: Cmcm
- Formation energy from the elements: 0.078 eV per atom

```
FeCo4
1.0
3.708 0.000 -1.068
0.000 4.898 0.000
-0.208 0.000 6.248
Fe Co
2 8
direct
0.405 0.250 0.810 Fe
0.595 0.750 0.190 Fe
0.199 0.996 0.398 Co
0.801 0.004 0.602 Co
0.801 0.496 0.602 Co
0.199 0.504 0.398 Co
0.612 0.250 0.224 Co
0.388 0.750 0.776 Co
0.000 0.000 0.000 Co
0.000 0.500 0.000 Co
```

Entry 2:
Material: Dy8Os2Pt
Method: DFT, PBE
State: optimized geometry

Output
- Crystal system: monoclinic
- D(E_F): 9.70 states/eV/cell
- Space group: Cm
- Formation energy from the elements: -0.332 eV per atom

```
Dy8Os2Pt
1.0
-2.683 0.622 -5.146
7.191 -0.376 -2.302
-2.618 -6.793 2.037
Os Pt Dy
2 1 8
direct
0.488 0.694 0.317 Os
0.488 0.317 0.694 Os
0.136 0.000 0.000 Pt
0.582 0.341 0.078 Dy
0.582 0.078 0.341 Dy
0.183 0.367 0.367 Dy
0.988 0.220 0.782 Dy
0.988 0.782 0.220 Dy
0.793 0.636 0.636 Dy
0.386 0.931 0.667 Dy
0.386 0.667 0.931 Dy
```

Entry 3:
Material: Ac3Os
Method: DFT, PBE
State: optimized geometry

Output
- Crystal system: orthorhombic
- D(E_F): 11.80 states/eV/cell
- Space group: Pnma
- Formation energy from the elements: 0.016 eV per atom

```
Ac3Os
1.0
-0.080 6.533 -3.266
-7.972 0.560 1.316
1.976 4.956 9.866
Ac Os
12 4
direct
0.353 0.548 0.250 Ac
0.853 0.952 0.750 Ac
0.147 0.048 0.250 Ac
0.647 0.452 0.750 Ac
0.168 0.315 0.930 Ac
0.668 0.185 0.070 Ac
0.332 0.815 0.570 Ac
0.832 0.685 0.430 Ac
0.168 0.315 0.570 Ac
0.668 0.185 0.430 Ac
0.832 0.685 0.070 Ac
0.332 0.815 0.930 Ac
0.000 0.000 0.500 Os
0.500 0.500 0.500 Os
0.500 0.500 0.000 Os
0.000 0.000 0.000 Os
```

Entry 4:
Material: V4HgCl8
Method: DFT, PBE
State: optimized geometry

Output
- Crystal system: monoclinic
- Formation energy (no corrections): -1007 meV per atom
- Space group: C2/m

```
V4HgCl8
1.0
3.603 0.000 0.780
1.654 8.851 1.071
-0.146 -0.060 9.381
V Hg Cl
4 1 8
direct
0.368 0.824 0.440 V
0.852 0.506 0.791 V
0.180 0.498 0.143 V
0.663 0.180 0.494 V
0.516 0.002 0.967 Hg
0.154 0.324 0.369 Cl
0.556 0.653 0.234 Cl
0.475 0.350 0.699 Cl
0.878 0.680 0.565 Cl
0.852 0.977 0.320 Cl
0.226 0.648 0.901 Cl
0.180 0.027 0.614 Cl
0.806 0.356 0.033 Cl
```

Entry 5:
Material: LaZrBeN3
Method: DFT, PBE
State: optimized geometry

Output
- Crystal system: monoclinic
- Formation energy (no corrections): -1370 meV per atom
- Space group: P2_1/m

```
LaZrBeN3
1.0
-0.825 1.345 2.891
5.700 -3.027 3.033
2.309 6.170 -2.211
La Zr Be N
2 2 2 6
direct
0.750 0.809 0.773 La
0.250 0.191 0.227 La
0.250 0.663 0.170 Zr
0.750 0.337 0.830 Zr
0.250 0.077 0.602 Be
0.750 0.923 0.398 Be
0.250 0.838 0.480 N
0.750 0.871 0.144 N
0.750 0.441 0.165 N
0.750 0.162 0.520 N
0.250 0.559 0.835 N
0.250 0.129 0.856 N
```

Entry 6:
Material: Ga2AgPt9
Method: DFT, PBE
State: optimized geometry

Output
- Crystal system: tetragonal
- D(E_F): 13.25 states/eV/cell
- Space group: P4/mmm
- Formation energy from the elements: -0.270 eV per atom

```
Ga2AgPt9
1.0
3.971 0.000 0.000
0.000 3.971 0.000
0.000 0.000 11.861
Ga Ag Pt
2 1 9
direct
0.000 0.000 0.332 Ga
0.000 0.000 0.668 Ga
0.000 0.000 0.000 Ag
0.500 0.500 0.000 Pt
0.500 0.500 0.337 Pt
0.500 0.500 0.663 Pt
0.500 0.000 0.173 Pt
0.500 0.000 0.500 Pt
0.500 0.000 0.827 Pt
0.000 0.500 0.173 Pt
0.000 0.500 0.500 Pt
0.000 0.500 0.827 Pt
```

Entry 7:
Material: LiTbGe2Rh
Method: DFT, PBE
State: optimized geometry

Output
- Crystal system: tetragonal
- D(E_F): 3.84 states/eV/cell
- Space group: I-4m2
- Formation energy from the elements: -0.714 eV per atom

```
LiTbGe2Rh
1.0
4.094 0.000 0.000
0.000 4.094 0.000
-2.047 -2.047 5.307
Li Tb Ge Rh
1 1 2 1
direct
0.250 0.750 0.500 Li
0.000 0.000 0.000 Tb
0.618 0.618 0.236 Ge
0.382 0.382 0.764 Ge
0.750 0.250 0.500 Rh
```

Entry 8:
Material: Pr6ZnCo2
Method: DFT, PBE
State: optimized geometry

Output
- Crystal system: monoclinic
- D(E_F): 9.07 states/eV/cell
- Space group: C2/m
- Formation energy from the elements: -0.023 eV per atom

```
Pr6ZnCo2
1.0
-2.681 1.035 3.752
3.330 -5.434 0.902
6.194 5.833 2.816
Pr Zn Co
6 1 2
direct
0.090 0.180 0.852 Pr
0.627 0.254 0.173 Pr
0.373 0.746 0.827 Pr
0.669 0.338 0.595 Pr
0.331 0.662 0.405 Pr
0.910 0.820 0.148 Pr
0.000 0.000 0.500 Zn
0.736 0.471 0.895 Co
0.264 0.529 0.105 Co
```

Entry 9:
Material: Y12CoBi6
Method: DFT, PBE
State: optimized geometry

Output
- Crystal system: trigonal
- D(E_F): 13.66 states/eV/cell
- Space group: R-3
- Formation energy from the elements: -0.484 eV per atom

```
Y12CoBi6
1.0
-3.372 0.498 -7.961
-6.854 -3.081 4.303
-0.451 8.335 2.305
Y Co Bi
12 1 6
direct
0.800 0.587 0.459 Y
0.459 0.800 0.587 Y
0.587 0.459 0.800 Y
0.200 0.413 0.541 Y
0.541 0.200 0.413 Y
0.413 0.541 0.200 Y
0.058 0.995 0.303 Y
0.005 0.697 0.942 Y
0.697 0.942 0.005 Y
0.942 0.005 0.697 Y
0.995 0.303 0.058 Y
0.303 0.058 0.995 Y
0.000 0.000 0.000 Co
0.685 0.883 0.352 Bi
0.648 0.315 0.117 Bi
0.117 0.648 0.315 Bi
0.315 0.117 0.648 Bi
0.352 0.685 0.883 Bi
0.883 0.352 0.685 Bi
```

Entry 10:
Material: CePrFeC
Method: DFT, PBE
State: optimized geometry

Output
- Crystal system: tetragonal
- D(E_F): 8.16 states/eV/cell
- Space group: P4/nmm
- Formation energy from the elements: 0.154 eV per atom

```
CePrFeC
1.0
-0.470 -3.602 -0.474
3.056 -0.650 1.913
-6.125 -0.469 9.626
Ce Pr Fe C
2 2 2 2
direct
0.250 0.750 0.500 Ce
0.750 0.250 0.500 Ce
0.750 0.750 0.201 Pr
0.250 0.250 0.799 Pr
0.750 0.250 0.000 Fe
0.250 0.750 0.000 Fe
0.750 0.750 0.929 C
0.250 0.250 0.071 C
```

Entry 11:
Material: K2Pa2Br2O5
Method: DFT, PBE
State: optimized geometry

Output
- Crystal system: tetragonal
- D(E_F): 0.00 states/eV/cell
- Formation energy (no corrections): -2834 meV per atom
- Space group: I4/mmm

```
K2Pa2Br2O5
1.0
-1.481 3.827 1.343
-3.999 -1.138 -1.167
0.627 -6.448 12.127
K Pa Br O
2 2 2 5
direct
0.333 0.333 0.666 K
0.667 0.667 0.334 K
0.079 0.079 0.158 Pa
0.921 0.921 0.842 Pa
0.194 0.194 0.388 Br
0.806 0.806 0.612 Br
0.000 0.000 0.000 O
0.589 0.089 0.179 O
0.911 0.411 0.821 O
0.089 0.589 0.179 O
0.411 0.911 0.821 O
```

Entry 12:
Material: Sr3ZrGa
Method: DFT, PBE
State: optimized geometry

Output
- Crystal system: cubic
- D(E_F): 6.73 states/eV/cell
- Space group: Pm-3m
- Formation energy from the elements: 0.886 eV per atom

```
Sr3ZrGa
1.0
6.041 0.000 0.000
0.000 6.041 0.000
0.000 0.000 6.041
Sr Ga Zr
3 1 1
direct
0.000 0.500 0.000 Sr
0.000 0.000 0.500 Sr
0.500 0.000 0.000 Sr
0.500 0.500 0.500 Ga
0.000 0.000 0.000 Zr
```

Entry 13:
Material: KCr2Ge
Method: DFT, PBE
State: optimized geometry

Output
- Crystal system: tetragonal
- D(E_F): 3.47 states/eV/cell
- Space group: I4_1/amd
- Formation energy from the elements: 0.834 eV per atom

```
KCr2Ge
1.0
5.691 0.000 0.000
0.000 5.691 0.000
2.845 2.845 8.246
Cr Ge K
4 2 2
direct
0.874 0.125 0.250 Cr
0.876 0.625 0.250 Cr
0.375 0.126 0.750 Cr
0.875 0.124 0.750 Cr
0.000 0.000 0.000 Ge
0.750 0.250 0.500 Ge
0.500 0.500 0.000 K
0.250 0.750 0.500 K
```

Entry 14:
Material: Tb6Er3Tm2Zr
Method: DFT, PBE
State: optimized geometry

Output
- Crystal system: monoclinic
- D(E_F): 14.98 states/eV/cell
- Space group: C2/m
- Formation energy from the elements: 0.043 eV per atom

```
Tb6Er3Tm2Zr
1.0
6.059 0.004 0.007
-3.025 5.250 0.007
-1.015 -1.758 11.397
Tb Er Tm Zr
6 3 2 1
direct
0.918 0.591 0.755 Tb
0.754 0.754 0.244 Tb
0.082 0.409 0.245 Tb
0.591 0.918 0.755 Tb
0.246 0.246 0.756 Tb
0.409 0.082 0.245 Tb
0.167 0.833 0.500 Er
0.833 0.167 0.500 Er
0.500 0.500 0.500 Er
0.333 0.667 0.000 Tm
0.667 0.333 0.000 Tm
0.000 0.000 0.000 Zr
```

Entry 15:
Material: Li3Cu
Method: DFT, PBE
State: optimized geometry

Output
- Crystal system: orthorhombic
- D(E_F): 3.31 states/eV/cell
- Space group: Pnma
- Formation energy from the elements: 0.038 eV per atom

```
Li3Cu
1.0
5.034 0.000 0.000
0.000 6.920 0.000
0.000 0.000 7.836
Cu Li
4 12
direct
0.582 0.883 0.750 Cu
0.082 0.617 0.250 Cu
0.918 0.383 0.750 Cu
0.418 0.117 0.250 Cu
0.099 0.027 0.750 Li
0.599 0.473 0.250 Li
0.401 0.527 0.750 Li
0.901 0.973 0.250 Li
0.620 0.180 0.946 Li
0.120 0.320 0.054 Li
0.880 0.680 0.554 Li
0.380 0.820 0.446 Li
0.380 0.820 0.054 Li
0.880 0.680 0.946 Li
0.120 0.320 0.446 Li
0.620 0.180 0.554 Li
```

Entry 16:
Material: PrSm3Dy6Y2
Method: DFT, PBE
State: optimized geometry

Output
- Crystal system: monoclinic
- D(E_F): 15.45 states/eV/cell
- Space group: C2/m
- Formation energy from the elements: 0.016 eV per atom

```
PrSm3Dy6Y2
1.0
-1.480 -3.726 4.737
-3.033 -0.487 -5.392
9.343 -6.433 -3.489
Pr Sm Dy Y
1 3 6 2
direct
0.000 0.000 0.000 Pr
0.167 0.833 0.500 Sm
0.833 0.167 0.500 Sm
0.500 0.500 0.500 Sm
0.916 0.583 0.750 Dy
0.750 0.750 0.250 Dy
0.084 0.417 0.250 Dy
0.583 0.916 0.750 Dy
0.250 0.250 0.750 Dy
0.417 0.084 0.250 Dy
0.333 0.667 0.000 Y
0.667 0.333 0.000 Y
```

Entry 17:
Material: BaGaN
Method: DFT, PBE
State: optimized geometry

Output
- Crystal system: monoclinic
- D(E_F): 1.99 states/eV/cell
- Formation energy (no corrections): -502 meV per atom
- Space group: C2/m

```
BaGaN
1.0
4.457 0.001 -0.001
2.120 3.796 0.000
0.490 -2.767 8.599
Ba Ga N
2 2 2
direct
0.285 0.332 0.292 Ba
0.011 0.774 0.902 Ba
0.477 0.889 0.598 Ga
0.820 0.218 0.597 Ga
0.526 0.597 0.062 N
0.771 0.510 0.133 N
```

Entry 18:
Material: LiPuAl2Si2
Method: DFT, PBE
State: optimized geometry

Output
- Crystal system: trigonal
- D(E_F): 10.10 states/eV/cell
- Formation energy (no corrections): -319 meV per atom
- Space group: P-3m1

```
LiPuAl2Si2
1.0
-0.137 4.257 0.856
-3.692 -2.248 -0.437
0.024 -1.253 6.237
Li Pu Al Si
1 1 2 2
direct
0.000 0.000 0.500 Li
0.000 0.000 0.000 Pu
0.333 0.667 0.681 Al
0.667 0.333 0.319 Al
0.333 0.667 0.262 Si
0.667 0.333 0.738 Si
```

Entry 19:
Material: Cs2KNaLi
Method: DFT, PBE
State: optimized geometry

Output
- Crystal system: tetragonal
- D(E_F): 4.13 states/eV/cell
- Space group: P4/mmm
- Formation energy from the elements: 0.146 eV per atom

```
Cs2KNaLi
1.0
-7.393 -1.960 1.049
0.180 -4.158 -6.501
1.812 -5.073 3.294
Cs Na K Li
2 1 1 1
direct
0.000 0.500 0.000 Cs
0.500 0.000 0.000 Cs
0.000 0.000 0.500 Na
0.500 0.500 0.500 K
0.000 0.000 0.000 Li
```

Entry 20:
Material: PrSm2YHo
Method: DFT, PBE
State: optimized geometry

Output
- Crystal system: monoclinic
- D(E_F): 14.35 states/eV/cell
- Space group: P2/c
- Formation energy from the elements: 0.329 eV per atom

```
PrSm2YHo
1.0
6.279 0.000 0.000
0.000 8.347 0.817
0.000 -1.607 6.589
Pr Sm Y Ho
2 4 2 2
direct
0.000 0.000 0.000 Pr
0.000 0.000 0.500 Pr
0.620 0.670 0.887 Sm
0.620 0.330 0.613 Sm
0.380 0.670 0.387 Sm
0.380 0.330 0.113 Sm
0.532 0.000 0.250 Y
0.468 0.000 0.750 Y
0.117 0.500 0.750 Ho
0.883 0.500 0.250 Ho
```